Compound: NaFe2CoF8
Source: Alexandria
Functional: PBE+U
Structure: relaxed

## Properties
Final energy ... -61.6 eV/cell
Mass density ... 3.8 Mg/m³
N(E_F) ... 3.3 states/eV per cell
Total magnetic moment ... 1.000 μB/atom

abc: 4.868 6.391 4.917
angles: 90.00 92.04 90.00
Space group P2/m (No. 10)
Asymmetric unit:
Na (0.000, 0.000, 0.000) x1
Fe (0.500, 0.255, 0.500) x2
Co (0.000, 0.500, 0.000) x1
F (0.212, 0.272, 0.208) x4
F (0.299, 0.500, 0.695) x2
F (0.320, 0.000, 0.675) x2